Entry from Alexandria: YSiAu2Se after structural relaxation (PBE).

Summary:
The calculation puts the total energy at -3.887 eV/atom. The theoretical density comes out at 6.2 g/cm³. The space group is P4/mmm.

Cell: 5.4374 5.3146 5.4374 Å, 90.00 90.00 90.00°
Fractional coordinates of all 5 atoms:
Y (0.0000, 0.0000, 0.0000)
Si (0.5000, 0.5000, 0.5000)
Au (0.0000, 0.0000, 0.5000)
Au (0.5000, 0.0000, 0.0000)
Se (0.0000, 0.5000, 0.0000)